1.
Density functional theory data (PBE-GGA) for PuMgCuO6 after structural relaxation.

Cell: 4.909 4.909 8.995 Å, 90.00 90.00 90.00°
Positions (direct):
Pu 0.000 0.000 0.000
Pu 0.500 0.500 0.500
Mg 0.000 0.000 0.341
Mg 0.500 0.500 0.841
Cu 0.000 0.000 0.664
Cu 0.500 0.500 0.164
O 0.183 0.183 0.159
O 0.183 0.183 0.827
O 0.190 0.190 0.510
O 0.310 0.690 0.010
O 0.317 0.683 0.327
O 0.317 0.683 0.659
O 0.683 0.317 0.327
O 0.683 0.317 0.659
O 0.690 0.310 0.010
O 0.810 0.810 0.510
O 0.817 0.817 0.159
O 0.817 0.817 0.827

Properties
The energy relative to the elements, uncorrected comes out at -1791 meV/atom. The value obtained for the spin magnetization is 1.07 μB/f.u. Its density of states at the Fermi level is 6.548 states/eV/cell. The space group is No. 102.

---

2.
Density functional theory data (PBE-GGA) for PuMgCu2O8 after structural relaxation.

Cell: 5.726 5.726 5.726 Å, 110.73 110.73 106.98°
Positions (direct):
Pu 0.000 0.000 0.000
Mg 0.250 0.750 0.500
Cu 0.500 0.500 0.000
Cu 0.750 0.250 0.500
O 0.298 0.117 0.819
O 0.298 0.478 0.181
O 0.342 0.044 0.299
O 0.522 0.702 0.819
O 0.745 0.044 0.701
O 0.883 0.702 0.181
O 0.956 0.255 0.299
O 0.956 0.658 0.701

Properties
The energy relative to the elements, uncorrected comes out at -1149 meV/atom. The value obtained for the spin magnetization is 0.00 μB/f.u. Its density of states at the Fermi level is 8.545 states/eV/cell. The space group is No. 119.

---

3.
Density functional theory data (PBE-GGA) for MgCuRhO4 after structural relaxation.

Cell: 6.051 6.051 6.051 Å, 122.23 117.08 90.65°
Positions (direct):
Mg 0.438 0.188 0.250
Mg 0.562 0.812 0.750
Cu 0.000 0.000 0.500
Cu 0.000 0.500 0.000
Rh 0.000 0.500 0.500
Rh 0.500 0.500 0.000
O 0.177 0.733 0.444
O 0.211 0.267 0.944
O 0.307 0.344 0.537
O 0.307 0.771 0.963
O 0.693 0.229 0.037
O 0.693 0.656 0.463
O 0.789 0.733 0.056
O 0.823 0.267 0.556

Properties
The energy relative to the elements, uncorrected comes out at -1205 meV/atom. The value obtained for the spin magnetization is 0.21 μB/f.u. Its density of states at the Fermi level is 6.856 states/eV/cell. The space group is No. 74.

---

4.
Density functional theory data (PBE-GGA) for MgCu2SO6 after structural relaxation.

Cell: 6.577 6.577 6.462 Å, 105.04 105.04 81.29°
Positions (direct):
Mg 0.216 0.784 0.750
Mg 0.784 0.216 0.250
Cu 0.358 0.365 0.930
Cu 0.365 0.358 0.430
Cu 0.635 0.642 0.570
Cu 0.642 0.635 0.070
S 0.110 0.890 0.250
S 0.890 0.110 0.750
O 0.125 0.125 0.314
O 0.125 0.125 0.814
O 0.210 0.785 0.065
O 0.215 0.790 0.435
O 0.269 0.461 0.680
O 0.461 0.269 0.180
O 0.539 0.731 0.820
O 0.731 0.539 0.320
O 0.785 0.210 0.565
O 0.790 0.215 0.935
O 0.875 0.875 0.186
O 0.875 0.875 0.686

Properties
The energy relative to the elements, uncorrected comes out at -1233 meV/atom. The value obtained for the spin magnetization is 0.74 μB/f.u. Its density of states at the Fermi level is 6.839 states/eV/cell. The space group is No. 15.

---

Question: Among the records above, which one has the lowest spin magnetization?
Answer: PuMgCu2O8

---

Question: What is the energy relative to the elements, uncorrected in the fourth record?
Answer: -1233 meV/atom